Run w
This record from Alexandria describes a geometry-optimized NdPu2Si2 structure. The functional is PBE.

a = 5.4672 Å, b = 3.5714 Å, c = 11.8575 Å
α = 90.00°, β = 103.07°, γ = 90.00°
With the nearest neighbours (Å) after each atom.
Fractional positions:
Nd 0.0057 0.2500 0.2605  6 Si 2.99-3.33
Nd 0.9943 0.7500 0.7395  6 Si 2.99-3.33
Pu 0.3706 0.7500 0.5096  2 Pu 2.32
Pu 0.4522 0.7500 0.0544  2 Pu 2.33
Pu 0.5478 0.2500 0.9456  2 Pu 2.33
Pu 0.6294 0.2500 0.4904  2 Pu 2.32
Si 0.0594 0.2500 0.9469  2 Si 2.36
Si 0.4857 0.2500 0.7041  4 Pu 2.81-2.87
Si 0.5143 0.7500 0.2959  4 Pu 2.81-2.87
Si 0.9406 0.7500 0.0531  2 Si 2.36

Run x
This record from Alexandria describes a geometry-optimized NdPu2Si2 structure. The functional is PBE.

a = 6.9602 Å, b = 6.9602 Å, c = 8.1849 Å
α = 90.00°, β = 90.00°, γ = 142.66°
With the nearest neighbours (Å) after each atom.
Fractional positions:
Nd 0.0825 0.9175 0.5000  6 Si 3.18-3.38, 2 Pu 3.52-3.56
Nd 0.9175 0.0825 0.0000  6 Si 3.18-3.38, 2 Pu 3.52-3.56
Pu 0.1799 0.8201 0.1001  5 Si 2.81-3.02, 2 Pu 2.89
Pu 0.3531 0.6469 0.3815  4 Si 2.87-2.96, 2 Pu 2.89
Pu 0.6469 0.3531 0.8815  4 Si 2.87-2.96, 2 Pu 2.89
Pu 0.8201 0.1799 0.6001  5 Si 2.81-3.02, 2 Pu 2.89
Si 0.2858 0.7142 0.8012  1 Si 2.47
Si 0.4617 0.5383 0.6978  1 Si 2.47
Si 0.5383 0.4617 0.1978  1 Si 2.47
Si 0.7142 0.2858 0.3012  1 Si 2.47

Verdict on stability: run x comes out on top.

Run w
This record from Alexandria describes a geometry-optimized NdPuSi2 structure. The functional is PBE.

a = 3.8652 Å, b = 5.9012 Å, c = 5.9012 Å
α = 43.28°, β = 90.00°, γ = 90.00°
With the nearest neighbours (Å) after each atom.
Fractional positions:
Nd 0.0000 0.0000 0.0000  7 Si 3.04-3.22
Pu 0.5000 0.2897 0.2897  7 Si 3.02-3.18
Si 0.0000 0.7164 0.7164  2 Si 2.45
Si 0.5000 0.5787 0.5787  2 Si 2.45

Run x
This record from Alexandria describes a geometry-optimized NdPuSi2 structure. The functional is PBE.

a = 5.4385 Å, b = 5.4385 Å, c = 5.4385 Å
α = 52.13°, β = 52.13°, γ = 52.13°
With the nearest neighbours (Å) after each atom.
Fractional positions:
Nd 0.0000 0.0000 0.0000  8 Si 3.05-3.39
Pu 0.5000 0.5000 0.5000  6 Si 2.95
Si 0.2409 0.2409 0.2409  3 Pu 2.95, 3 Nd 3.05
Si 0.7591 0.7591 0.7591  3 Pu 2.95, 3 Nd 3.05

Run y
This record from Alexandria describes a geometry-optimized NdPuSi2 structure. The functional is PBE.

a = 3.8690 Å, b = 5.8501 Å, c = 8.1665 Å
α = 90.00°, β = 90.00°, γ = 90.00°
With the nearest neighbours (Å) after each atom.
Fractional positions:
Nd 0.0000 0.1398 0.0000  7 Si 3.05-3.24
Nd 0.0000 0.8602 0.5000  7 Si 3.05-3.24
Pu 0.5000 0.3605 0.3582  7 Si 3.02-3.19
Pu 0.5000 0.6395 0.8582  7 Si 3.02-3.19
Si 0.0000 0.3755 0.6457  2 Si 2.45
Si 0.0000 0.6245 0.1457  2 Si 2.45
Si 0.5000 0.1340 0.7112  2 Si 2.45
Si 0.5000 0.8660 0.2112  2 Si 2.45

Verdict on stability: run w comes out on top.